The following is a PBE calculation of a geometry-optimized TaZnFeCu structure, from the Open Quantum Materials Database.

The value obtained for the total energy is -6.224 eV/atom. The offset from the most stable computed form is 0.0 meV/atom. The calculation puts the energy of formation at 6.0 kJ per mole of atoms.

The structure belongs to space group F-43m (No. 216); the cell edges are 6.0144, 6.0144 and 6.0144 Å and the angles 90.00°, 90.00° and 90.00°. Symmetry generates all atoms from Ta at (0.0000, 0.0000, 0.0000), Zn at (0.0000, 0.0000, 0.5000), Fe at (0.2500, 0.2500, 0.2500) and Cu at (0.2500, 0.2500, 0.7500).